Record 1
{
  "formula": "SmScHg3",
  "functional": "PBE",
  "state": "optimized geometry",
  "cell": [[-2.8484, 1.1231, -1.5807], [-0.6812, -4.4245, -1.9162], [-6.4273, -4.3230, 12.2667]],
  "species": ["Sc", "Sc", "Sm", "Sm", "Hg", "Hg", "Hg", "Hg", "Hg", "Hg"],
  "fractional_positions": [[0.2127, 0.7500, 0.4254], [0.7873, 0.2500, 0.5746], [0.0776, 0.2500, 0.1552], [0.9224, 0.7500, 0.8448], [0.3129, 0.7500, 0.6258], [0.6871, 0.2500, 0.3742], [0.6269, 0.7500, 0.2537], [0.4744, 0.2500, 0.9488], [0.5256, 0.7500, 0.0512], [0.3731, 0.2500, 0.7463]],
  "e_above_lowest_polymorph_ev_per_atom": 0.000,
  "ef_ev_per_atom": -0.39
}

---

Record 2
{
  "formula": "La2Al12Au7",
  "functional": "PBE",
  "state": "optimized geometry",
  "cell": [[-1.3520, 3.2302, -2.3052], [5.8216, -3.3467, -8.1039], [-9.9120, -3.3621, 1.1020]],
  "species": ["Au", "Au", "Au", "Au", "Au", "Au", "Au", "Al", "Al", "Al", "Al", "Al", "Al", "Al", "Al", "Al", "Al", "Al", "Al", "La", "La"],
  "fractional_positions": [[0.5000, 0.0000, 0.0000], [0.7632, 0.1129, 0.7060], [0.2368, 0.7060, 0.5930], [0.2368, 0.4070, 0.1129], [0.7632, 0.2940, 0.4070], [0.7632, 0.5930, 0.8871], [0.2368, 0.8871, 0.2940], [0.7395, 0.2665, 0.1468], [0.7468, 0.3790, 0.9452], [0.7395, 0.8532, 0.1197], [0.2605, 0.1468, 0.8803], [0.2532, 0.6210, 0.0548], [0.7395, 0.8803, 0.7335], [0.2605, 0.7335, 0.8532], [0.7468, 0.5662, 0.6210], [0.7468, 0.0548, 0.4338], [0.2605, 0.1197, 0.2665], [0.2532, 0.4338, 0.3790], [0.2532, 0.9452, 0.5662], [0.7389, 0.6667, 0.3333], [0.2611, 0.3333, 0.6667]],
  "ef_ev_per_atom": -0.54
}

---

Record 3
{
  "formula": "Sc2SiIr",
  "functional": "PBE",
  "state": "optimized geometry",
  "cell": [[-0.4001, 6.0188, -3.9862], [-5.6466, -2.7484, -3.5831], [-4.8549, 2.8221, -1.8086]],
  "species": ["Sc", "Sc", "Sc", "Sc", "Si", "Si", "Ir", "Ir"],
  "fractional_positions": [[0.3750, 0.3536, 0.7500], [0.6464, 0.1250, 0.2500], [0.8750, 0.8964, 0.7500], [0.1036, 0.6250, 0.2500], [0.5000, 0.5000, 0.0000], [0.2500, 0.7500, 0.5000], [0.0000, 0.0000, 0.0000], [0.7500, 0.2500, 0.5000]],
  "formation_energy_uncorrected_mev_per_atom": -259
}

---

Record 4
{
  "formula": "RbPr3Nd2Te6",
  "functional": "PBE",
  "state": "optimized geometry",
  "cell": [[-1.6088, -2.4476, -3.4644], [8.4093, -3.9012, -1.1488], [-3.7735, -4.9172, 8.1967]],
  "species": ["Te", "Te", "Te", "Te", "Te", "Te", "Pr", "Pr", "Pr", "Nd", "Nd", "Rb"],
  "fractional_positions": [[0.3341, 0.4181, 0.6681], [0.6748, 0.0879, 0.3495], [0.0045, 0.2670, 0.0090], [0.3252, 0.9121, 0.6505], [0.6659, 0.5819, 0.3319], [0.9955, 0.7330, 0.9910], [0.5000, 0.5000, 0.0000], [0.1610, 0.8200, 0.3220], [0.8390, 0.1800, 0.6780], [0.1697, 0.3444, 0.3393], [0.8303, 0.6556, 0.6607], [0.5000, 0.0000, 0.0000]],
  "formation_energy_uncorrected_mev_per_atom": -1385
}

---

Record 5
{
  "formula": "MnOs2AuCl",
  "functional": "PBE",
  "state": "optimized geometry",
  "cell": [[-1.9363, -2.7315, -2.7885], [-3.0221, -1.3663, 3.4368], [-2.7632, 3.1577, -1.1745]],
  "species": ["Mn", "Cl", "Os", "Os", "Au"],
  "fractional_positions": [[0.5000, 0.5000, 0.5000], [0.0000, 0.0000, 0.0000], [0.5000, 0.0000, 0.0000], [0.0000, 0.0000, 0.5000], [0.0000, 0.5000, 0.0000]],
  "formation_energy_uncorrected_mev_per_atom": 1797
}

---

Record 6
{
  "formula": "UCo2P2Pd",
  "functional": "PBE",
  "state": "optimized geometry",
  "cell": [[-3.1060, 0.5603, 2.1773], [2.1083, -3.1711, 0.4476], [3.8197, 3.1926, 4.6274]],
  "species": ["Co", "Co", "Pd", "P", "P", "U"],
  "fractional_positions": [[0.3333, 0.6667, 0.7114], [0.6667, 0.3333, 0.2886], [0.0000, 0.0000, 0.5000], [0.6667, 0.3333, 0.7363], [0.3333, 0.6667, 0.2637], [0.0000, 0.0000, 0.0000]],
  "ef_ev_per_atom": -0.59
}

---

Record 7
{
  "formula": "CaSc2Ta",
  "functional": "PBE",
  "state": "optimized geometry",
  "cell": [[5.6264, 0.0185, 0.0000], [1.9336, 5.2837, 0.0000], [-3.7800, -2.6511, 3.2156]],
  "species": ["Sc", "Sc", "Ca", "Ta"],
  "fractional_positions": [[0.2500, 0.7500, 0.5000], [0.0000, 0.0000, 0.0000], [0.7500, 0.2500, 0.5000], [0.5000, 0.5000, 0.0000]],
  "e_above_lowest_polymorph_ev_per_atom": 0.258,
  "ef_ev_per_atom": 0.47
}

---

Record 8
{
  "formula": "AcNd2SmTm4",
  "functional": "PBE",
  "state": "optimized geometry",
  "cell": [[9.4583, -0.0335, -1.7928], [-0.0401, 9.4583, -1.7928], [-5.9751, -5.9792, 8.4558]],
  "species": ["Tm", "Tm", "Tm", "Tm", "Tm", "Tm", "Tm", "Tm", "Ac", "Ac", "Nd", "Nd", "Nd", "Nd", "Sm", "Sm"],
  "fractional_positions": [[0.7419, 0.7582, 0.9982], [0.7418, 0.7581, 0.5018], [0.2582, 0.2419, 0.4982], [0.2609, 0.7641, 0.0125], [0.7359, 0.2391, 0.4875], [0.7391, 0.2359, 0.9875], [0.2581, 0.2418, 0.0018], [0.2641, 0.7609, 0.5125], [0.0000, 0.5000, 0.0000], [0.0000, 0.5000, 0.5000], [0.0000, 0.0000, 0.5000], [0.5000, 0.5000, 0.0000], [0.5000, 0.0000, 0.0000], [0.5000, 0.0000, 0.5000], [0.5000, 0.5000, 0.5000], [0.0000, 0.0000, 0.0000]],
  "ef_ev_per_atom": 0.43
}

---

Record 9
{
  "formula": "ZnPSeN2",
  "functional": "PBE",
  "state": "optimized geometry",
  "cell": [[3.8532, 0.0000, 0.0000], [0.0000, 3.8532, 0.0000], [0.0000, 0.0000, 5.6920]],
  "species": ["Zn", "P", "N", "N", "Se"],
  "fractional_positions": [[0.0000, 0.0000, 0.0000], [0.5000, 0.5000, 0.5000], [0.0000, 0.5000, 0.0000], [0.5000, 0.0000, 0.0000], [0.0000, 0.0000, 0.5000]],
  "e_above_lowest_polymorph_ev_per_atom": 1.023,
  "formation_energy_uncorrected_mev_per_atom": 1670
}

---

Record 10
{
  "formula": "NaCa2HoO4",
  "functional": "PBE",
  "state": "optimized geometry",
  "cell": [[3.4165, 0.0000, 0.0000], [0.0000, 5.8309, 0.1631], [0.0000, -1.9824, 5.4915]],
  "species": ["O", "O", "O", "O", "Na", "Ca", "Ca", "Ho"],
  "fractional_positions": [[0.0000, 0.2671, 0.7618], [0.5000, 0.2719, 0.2555], [0.5000, 0.7281, 0.7445], [0.0000, 0.7329, 0.2382], [0.0000, 0.0000, 0.0000], [0.0000, 0.5000, 0.5000], [0.5000, 0.0000, 0.5000], [0.5000, 0.5000, 0.0000]],
  "formation_energy_uncorrected_mev_per_atom": -2845
}

---

Record 11
{
  "formula": "Dy3ScTl4Te8",
  "functional": "PBE",
  "state": "optimized geometry",
  "cell": [[-8.2317, 1.3016, 2.8575], [3.1930, 0.2556, 9.0819], [3.6259, 5.6462, -5.7085]],
  "species": ["Tl", "Tl", "Tl", "Tl", "Te", "Te", "Te", "Te", "Te", "Te", "Te", "Te", "Sc", "Dy", "Dy", "Dy"],
  "fractional_positions": [[0.5000, 0.0000, 0.5000], [0.0000, 0.0000, 0.0000], [0.0000, 0.0000, 0.5000], [0.5000, 0.0000, 0.0000], [0.7467, 0.7090, 0.9779], [0.2617, 0.2851, 0.5234], [0.2312, 0.7090, 0.9779], [0.2313, 0.7091, 0.4625], [0.7687, 0.2909, 0.5375], [0.7383, 0.7149, 0.4766], [0.7688, 0.2910, 0.0221], [0.2533, 0.2910, 0.0221], [0.0000, 0.5000, 0.0000], [0.5000, 0.5000, 0.5000], [0.0000, 0.5000, 0.5000], [0.5000, 0.5000, 0.0000]],
  "formation_energy_uncorrected_mev_per_atom": -1017
}

---

Record 12
{
  "formula": "BSbRu2S",
  "functional": "PBE",
  "state": "optimized geometry",
  "cell": [[-0.9360, -1.7652, -4.5238], [-4.2214, -2.1458, 1.7108], [-2.5277, 4.1108, -1.0811]],
  "species": ["S", "Sb", "Ru", "Ru", "B"],
  "fractional_positions": [[0.0000, 0.5000, 0.0000], [0.0000, 0.0000, 0.0000], [0.0000, 0.0000, 0.5000], [0.5000, 0.0000, 0.0000], [0.5000, 0.5000, 0.5000]],
  "formation_energy_uncorrected_mev_per_atom": 2283
}

---

Record 13
{
  "formula": "PrPu2Ag6",
  "functional": "PBE",
  "state": "optimized geometry",
  "cell": [[3.1810, 0.0000, 0.0000], [0.0000, 7.4267, -4.2878], [0.0000, 0.0000, 8.5756]],
  "species": ["Ag", "Ag", "Ag", "Ag", "Ag", "Ag", "Pu", "Pu", "Pr"],
  "fractional_positions": [[0.5000, 0.3352, 0.0000], [0.5000, 0.6648, 0.6648], [0.5000, 0.6648, 0.0000], [0.5000, 0.0000, 0.3352], [0.5000, 0.0000, 0.6648], [0.5000, 0.3352, 0.3352], [0.0000, 0.6667, 0.3333], [0.0000, 0.3333, 0.6667], [0.0000, 0.0000, 0.0000]],
  "ef_ev_per_atom": -0.09
}

---

Record 14
{
  "formula": "Fe2Ni2Ag",
  "functional": "PBE",
  "state": "optimized geometry",
  "cell": [[7.0281, 0.0000, 0.0000], [0.0000, 7.0281, 0.0000], [0.0000, 0.0000, 2.6300]],
  "species": ["Fe", "Fe", "Fe", "Fe", "Ni", "Ni", "Ni", "Ni", "Ag", "Ag"],
  "fractional_positions": [[0.1646, 0.6646, 0.5000], [0.3354, 0.1646, 0.5000], [0.8354, 0.3354, 0.5000], [0.6646, 0.8354, 0.5000], [0.3715, 0.8715, 0.0000], [0.1285, 0.3715, 0.0000], [0.6285, 0.1285, 0.0000], [0.8715, 0.6285, 0.0000], [0.0000, 0.0000, 0.0000], [0.5000, 0.5000, 0.0000]],
  "e_above_lowest_polymorph_ev_per_atom": 0.000,
  "ef_ev_per_atom": 0.14
}

---

Record 15
{
  "formula": "La3ErTm8",
  "functional": "PBE",
  "state": "optimized geometry",
  "cell": [[0.0582, 1.3193, -8.3494], [-6.2705, -5.6401, 0.5370], [-2.1916, 4.3848, 6.8788]],
  "species": ["Tm", "Tm", "Tm", "Tm", "Tm", "Tm", "Tm", "Tm", "Er", "La", "La", "La"],
  "fractional_positions": [[0.1613, 0.3293, 0.8318], [0.1693, 0.4151, 0.2491], [0.1695, 0.9205, 0.7546], [0.5031, 0.6712, 0.8323], [0.4978, 0.1669, 0.3318], [0.1649, 0.8335, 0.3307], [0.8327, 0.5847, 0.7537], [0.8339, 0.0790, 0.2488], [0.8383, 0.0004, 0.8376], [0.4971, 0.2488, 0.7468], [0.8350, 0.4995, 0.3347], [0.4971, 0.7511, 0.2483]],
  "ef_ev_per_atom": 0.03
}

---

Record 16
{
  "formula": "BaCuRu4",
  "functional": "PBE",
  "state": "optimized geometry",
  "cell": [[0.0000, 3.8076, 3.8076], [3.8076, 0.0000, 3.8076], [3.8076, 3.8076, 0.0000]],
  "species": ["Cu", "Ru", "Ru", "Ru", "Ru", "Ba"],
  "fractional_positions": [[0.0000, 0.0000, 0.0000], [0.8781, 0.3740, 0.3740], [0.3740, 0.8781, 0.3740], [0.3740, 0.3740, 0.3740], [0.3740, 0.3740, 0.8781], [0.7500, 0.7500, 0.7500]],
  "ef_ev_per_atom": 0.82
}

---

Record 17
{
  "formula": "BaZnAs2W",
  "functional": "PBE",
  "state": "optimized geometry",
  "cell": [[-1.8458, 2.9750, -3.5247], [-4.6606, -0.9235, 1.6611], [0.3351, 3.8729, 3.0934]],
  "species": ["Ba", "W", "Zn", "As", "As"],
  "fractional_positions": [[0.5000, 0.5000, 0.5000], [0.0000, 0.0000, 0.0000], [0.0000, 0.5000, 0.0000], [0.0000, 0.0000, 0.5000], [0.5000, 0.0000, 0.0000]],
  "ef_ev_per_atom": -0.25
}

---

Record 18
{
  "formula": "NbGeTe",
  "functional": "PBE",
  "state": "optimized geometry",
  "cell": [[5.2788, 0.0000, -0.0025], [0.0000, 5.0311, 0.0000], [-2.4160, 0.0000, 4.4376]],
  "species": ["Te", "Te", "Nb", "Nb", "Ge", "Ge"],
  "fractional_positions": [[0.8078, 0.0000, 0.8150], [0.8078, 0.5000, 0.3150], [0.1564, 0.5000, 0.9893], [0.1564, 0.0000, 0.4893], [0.4305, 0.0000, 0.1264], [0.4305, 0.5000, 0.6264]],
  "formation_energy_uncorrected_mev_per_atom": -116
}

---

Record 19
{
  "formula": "LaY6Tm12",
  "functional": "PBE",
  "state": "optimized geometry",
  "cell": [[8.9077, -0.5055, -2.6116], [-3.3491, 8.2696, -2.6116], [-0.3619, -0.5055, 9.2756]],
  "species": ["Tm", "Tm", "Tm", "Tm", "Tm", "Tm", "Tm", "Tm", "Tm", "Tm", "Tm", "Tm", "Y", "Y", "Y", "Y", "Y", "Y", "La"],
  "fractional_positions": [[0.1086, 0.8914, 0.5000], [0.6303, 0.8424, 0.6303], [0.6303, 0.6303, 0.8424], [0.5000, 0.8914, 0.1086], [0.3697, 0.1576, 0.3697], [0.5000, 0.1086, 0.8914], [0.8424, 0.6303, 0.6303], [0.8914, 0.5000, 0.1086], [0.3697, 0.3697, 0.1576], [0.1576, 0.3697, 0.3697], [0.8914, 0.1086, 0.5000], [0.1086, 0.5000, 0.8914], [0.3199, 0.3199, 0.7486], [0.7486, 0.3199, 0.3199], [0.2514, 0.6801, 0.6801], [0.6801, 0.6801, 0.2514], [0.6801, 0.2514, 0.6801], [0.3199, 0.7486, 0.3199], [0.0000, 0.0000, 0.0000]],
  "e_above_lowest_polymorph_ev_per_atom": 0.000,
  "ef_ev_per_atom": 0.44
}

---

Record 20
{
  "formula": "ZnWSe2Br",
  "functional": "PBE",
  "state": "optimized geometry",
  "cell": [[-3.4218, -1.7707, -3.1013], [2.9368, -3.8390, -1.0485], [-1.9955, -2.5210, 3.6412]],
  "species": ["Se", "Se", "W", "Zn", "Br"],
  "fractional_positions": [[0.0000, 0.5000, 0.0000], [0.5000, 0.0000, 0.0000], [0.5000, 0.5000, 0.5000], [0.0000, 0.0000, 0.0000], [0.0000, 0.0000, 0.5000]],
  "e_above_lowest_polymorph_ev_per_atom": 0.820,
  "formation_energy_uncorrected_mev_per_atom": 1096
}

---

Record 21
{
  "formula": "SrAc8Pr2",
  "functional": "PBE",
  "state": "optimized geometry",
  "cell": [[-3.6580, 3.5424, -3.0271], [5.5700, -1.2326, -8.1734], [-5.6063, -7.8077, 3.4345]],
  "species": ["Ac", "Ac", "Ac", "Ac", "Ac", "Ac", "Ac", "Ac", "Pr", "Pr", "Sr"],
  "fractional_positions": [[0.6611, 0.4508, 0.3222], [0.3389, 0.5492, 0.6778], [0.6611, 0.8714, 0.3222], [0.3389, 0.1286, 0.6778], [0.8497, 0.8497, 0.6995], [0.1503, 0.1503, 0.3005], [0.0000, 0.3135, 0.0000], [0.0000, 0.6865, 0.0000], [0.2050, 0.7050, 0.4101], [0.7950, 0.2950, 0.5899], [0.5000, 0.0000, 0.0000]],
  "ef_ev_per_atom": 0.13
}

---

Record 22
{
  "formula": "Sm2TiGa4Pd3",
  "functional": "PBE",
  "state": "optimized geometry",
  "cell": [[4.1482, 0.0000, 0.0000], [0.0000, 4.1482, 0.0000], [0.0000, 0.0000, 11.2677]],
  "species": ["Ti", "Pd", "Pd", "Pd", "Ga", "Ga", "Ga", "Ga", "Sm", "Sm"],
  "fractional_positions": [[0.5000, 0.5000, 0.5000], [0.5000, 0.0000, 0.8667], [0.0000, 0.0000, 0.5000], [0.0000, 0.5000, 0.1333], [0.0000, 0.5000, 0.3560], [0.5000, 0.5000, 0.0000], [0.0000, 0.0000, 0.0000], [0.5000, 0.0000, 0.6440], [0.5000, 0.0000, 0.2498], [0.0000, 0.5000, 0.7502]],
  "ef_ev_per_atom": -0.70
}

---

Record 23
{
  "formula": "La7Dy2Er2",
  "functional": "PBE",
  "state": "optimized geometry",
  "cell": [[-6.7692, -5.4773, -4.4892], [-0.6072, -3.9300, 5.6975], [-3.9104, 5.6568, -0.9923]],
  "species": ["La", "La", "La", "La", "La", "La", "La", "Dy", "Dy", "Er", "Er"],
  "fractional_positions": [[0.3182, 0.5005, 0.0001], [0.8251, 0.5001, 0.4999], [0.0000, 0.0000, 0.0000], [0.1749, 0.4999, 0.5001], [0.6818, 0.4995, 0.9999], [0.6818, 0.0001, 0.5005], [0.3182, 0.9999, 0.4995], [0.9999, 0.7320, 0.2680], [0.0001, 0.2680, 0.7320], [0.5000, 0.7477, 0.7477], [0.5000, 0.2523, 0.2523]],
  "e_above_lowest_polymorph_ev_per_atom": 0.180,
  "ef_ev_per_atom": 0.30
}